# 1
Below is a relaxed Tb12Sm7Y crystal, with properties calculated at the GGA-PBE level.

Results
**DOS at the Fermi energy**: 25.0 states/eV/f.u.
**E_form**: 647 meV/atom
**Symmetry**: No. 229
**E_tot**: -82.12 eV for the cell shown
**V**: 36.40 Å³ per atom
**Distance to the lowest polymorph of the same formula**: 412 meV per atom

Structure (POSCAR):
```
Tb12Sm7Y
1.0
-1.3447 -9.4097 2.4487
9.5993 1.7743 -1.0258
-3.6590 5.7699 7.0475
Tb Sm Y
12 7 1
Cartesian
3.7841 0.9399 5.7562
4.9561 -6.6391 3.4286
0.8116 -2.8055 2.7142
-0.3604 4.7735 5.0418
-1.9172 -5.6340 3.5943
1.0654 -1.8462 6.6176
6.5128 3.7685 4.8761
3.5303 -0.0193 1.8528
4.3651 -2.8342 4.6097
0.2305 0.9687 3.8606
-2.2817 -0.8588 8.6285
6.8774 -1.0067 -0.1581
4.1273 -3.8177 0.7114
2.9702 3.7721 3.0108
-2.5018 -1.8199 4.7481
2.2978 -0.9328 4.2352
-1.8295 2.8850 3.5238
-0.6723 -4.7049 1.2243
4.7997 0.8872 -0.5129
0.0000 0.0000 0.0000
```



# 2
Below is a relaxed Tb4Sm9Y11 crystal, with properties calculated at the GGA-PBE level.

Results
**DOS at the Fermi energy**: 31.8 states/eV/f.u.
**E_form**: 47 meV/atom
**Symmetry**: No. 65
**E_tot**: -130.96 eV for the cell shown
**V**: 33.19 Å³ per atom

Structure (POSCAR):
```
Tb4Sm9Y11
1.0
-1.1532 1.4169 3.2509
-12.6246 5.2187 -6.7529
-1.5916 -14.0917 5.5775
Tb Sm Y
4 9 11
Cartesian
-8.7775 -7.0437 2.0952
-6.5919 -0.4124 -0.0198
-10.9958 -3.1611 -0.3839
-4.3736 -4.2950 2.4594
-8.8048 1.6972 -1.7242
-6.5646 -9.1533 3.7997
-3.6461 -7.3317 4.0410
-11.7233 -0.1244 -1.9655
-11.9887 -8.3297 1.5167
-3.3807 0.8736 0.5588
-13.6020 -5.5060 -0.2863
-1.7674 -1.9501 2.3618
-7.6847 -3.7280 1.0377
-9.0154 -10.3540 1.3149
-5.2008 1.4809 -2.4903
-12.9971 -3.3851 -3.1349
-1.2191 -5.4879 1.9595
-8.5768 -1.8659 -2.2291
-5.6394 -7.0071 1.0537
-10.8573 2.1255 -4.7778
-3.3589 -10.9985 3.6023
0.0000 0.0000 0.0000
-10.0846 -6.2943 -0.8338
-4.1316 -2.5787 -0.3416
```



# 3
Below is a relaxed TbSm3Y6 crystal, with properties calculated at the GGA-PBE level.

Results
**DOS at the Fermi energy**: 15.8 states/eV/f.u.
**E_form**: 110 meV/atom
**Symmetry**: No. 36
**E_tot**: -112.94 eV for the cell shown
**V**: 32.95 Å³ per atom
**Distance to the lowest polymorph of the same formula**: 0 meV per atom

Structure (POSCAR):
```
TbSm3Y6
1.0
6.4364 0.0000 0.0000
0.0000 10.1135 -5.7807
0.0000 -2.2756 11.4246
Tb Sm Y
2 6 12
Cartesian
0.0962 -0.2905 8.6678
3.3144 8.1284 -3.0239
3.1354 8.1133 2.4791
6.3536 4.9238 6.9086
0.6098 2.9411 4.1799
3.8280 4.8968 1.4639
6.3536 -0.2755 3.1648
3.1354 2.9141 -1.2648
0.4383 6.1062 2.7973
3.6565 4.5891 4.9041
2.1171 2.5863 7.5780
5.3353 8.0070 0.0500
2.0164 9.9494 -5.5528
5.1111 1.4668 6.2273
1.8929 6.3710 -0.5835
5.2346 -2.1115 11.1967
2.1171 -0.1692 5.5938
5.3353 5.2515 -1.9341
0.4383 3.2487 0.7397
3.6565 1.7317 2.8465
```



# 4
Below is a relaxed Tb3Sm2Y7 crystal, with properties calculated at the GGA-PBE level.

Results
**DOS at the Fermi energy**: 15.8 states/eV/f.u.
**E_form**: 88 meV/atom
**Symmetry**: No. 10
**E_tot**: -67.52 eV for the cell shown
**V**: 32.73 Å³ per atom
**Distance to the lowest polymorph of the same formula**: 0 meV per atom

Structure (POSCAR):
```
Tb3Sm2Y7
1.0
-2.6303 -1.1136 2.1848
2.1955 -5.3973 -0.1079
10.2249 5.0824 14.9009
Tb Sm Y
3 2 7
Cartesian
-0.2174 -3.2555 1.0385
4.2436 0.6873 5.4593
8.1768 -1.0021 9.3337
3.2404 -2.8674 5.3993
6.5497 1.4389 11.5785
5.0409 -2.2111 7.9016
4.7491 0.7827 9.0762
2.9562 -2.9534 2.0538
0.0000 0.0000 0.0000
9.4641 2.6385 12.7392
8.8878 -0.7743 13.2654
0.9022 -0.6542 3.7124
```



# 5
Below is a relaxed Tb6Sm8Y crystal, with properties calculated at the GGA-PBE level.

Results
**DOS at the Fermi energy**: 22.8 states/eV/f.u.
**E_form**: 176 meV/atom
**Symmetry**: No. 147
**E_tot**: -69.36 eV for the cell shown
**V**: 33.63 Å³ per atom
**Distance to the lowest polymorph of the same formula**: 51 meV per atom

Structure (POSCAR):
```
Tb6Sm8Y
1.0
6.5573 0.0000 0.0000
0.0000 8.1624 -4.7125
0.0000 0.0000 9.4251
Tb Sm Y
6 8 1
Cartesian
4.3242 5.3408 -2.2330
4.3242 7.4258 1.0292
4.3242 3.5581 1.2038
2.2331 2.8216 6.9456
2.2331 0.7365 3.6833
2.2331 4.6043 3.5087
5.4826 0.2622 2.5323
5.4826 5.8382 3.6735
5.4826 2.0620 7.9319
1.0746 7.9002 2.1802
1.0746 2.3241 1.0391
1.0746 6.1004 -3.2193
5.7809 2.7208 4.7126
0.7764 5.4416 0.0000
3.2786 0.0000 0.0000
```



# 6
Below is a relaxed Tb5SmY4 crystal, with properties calculated at the GGA-PBE level.

Results
**DOS at the Fermi energy**: 14.5 states/eV/f.u.
**E_form**: 254 meV/atom
**Symmetry**: No. 107
**E_tot**: -51.19 eV for the cell shown
**V**: 33.32 Å³ per atom

Structure (POSCAR):
```
Tb5SmY4
1.0
-2.4486 4.1663 3.4873
-0.0421 -2.2351 7.7328
5.4897 5.2357 2.6915
Tb Sm Y
5 1 4
Cartesian
3.6061 7.5636 8.2614
3.0385 1.6054 9.8891
0.2059 5.1438 3.6728
-0.3617 -0.8144 5.3005
-1.6724 2.8456 2.3818
-0.5241 0.8918 0.7465
2.5922 4.7082 5.9052
1.7818 5.2648 9.7632
1.4451 1.5141 3.8236
0.6347 2.0707 7.6816
```



# 7
Below is a relaxed TbSm15Y4 crystal, with properties calculated at the GGA-PBE level.

Results
**DOS at the Fermi energy**: 28.0 states/eV/f.u.
**E_form**: 15 meV/atom
**Symmetry**: No. 123
**E_tot**: -100.98 eV for the cell shown
**V**: 33.47 Å³ per atom

Structure (POSCAR):
```
TbSm15Y4
1.0
-2.5775 -4.2123 -1.3491
3.5881 -1.0783 -3.4886
12.9057 -13.4831 17.4415
Tb Sm Y
1 15 4
Cartesian
0.0000 0.0000 0.0000
0.5053 -2.6453 -2.4188
3.0864 -5.3419 1.0694
5.6673 -8.0383 4.5574
8.2490 -10.7354 8.0464
10.8299 -13.4318 11.5344
-0.0014 -3.4512 1.0653
2.5823 -6.1504 4.5570
5.1641 -8.8477 8.0462
7.7459 -11.5450 11.5353
10.3295 -14.2442 15.0270
3.0815 -1.8842 -0.0044
5.6651 -4.5834 3.4873
8.2469 -7.2807 6.9764
10.8287 -9.9780 10.4656
13.4123 -12.6772 13.9573
2.5807 -2.6961 3.4876
5.1621 -5.3930 6.9763
7.7436 -8.0900 10.4651
10.3250 -10.7870 13.9538
```



# 8
Below is a relaxed Tb12Sm2Y crystal, with properties calculated at the GGA-PBE level.

Results
**DOS at the Fermi energy**: 23.3 states/eV/f.u.
**E_form**: 112 meV/atom
**Symmetry**: No. 12
**E_tot**: -139.57 eV for the cell shown
**V**: 32.68 Å³ per atom

Structure (POSCAR):
```
Tb12Sm2Y
1.0
6.4853 1.4787 0.3868
1.4787 6.4853 -0.3868
1.8815 -1.8815 24.8807
Tb Sm Y
24 4 2
Cartesian
4.9997 2.9833 19.8119
7.4840 0.4610 20.1987
6.8588 5.0872 21.3914
3.5019 4.4629 22.7074
2.1170 5.8580 7.8278
3.8403 4.1229 1.7865
6.6981 1.2782 14.0725
4.6093 3.3437 8.2147
2.8789 1.1031 21.3543
6.9688 4.9772 3.4893
3.4217 0.5603 14.2994
5.6508 2.3009 11.1950
7.7396 0.2354 17.0528
2.4419 1.5402 10.5812
2.9847 0.9973 3.5264
6.4339 5.5121 10.5564
7.3936 4.5524 14.3243
2.3426 5.6025 4.6820
4.1825 3.7692 13.6857
5.2253 2.7277 16.6660
6.0045 1.9588 23.0942
4.8648 3.1181 5.0688
3.1598 4.8165 10.8082
6.3444 1.6204 2.1733
5.4670 6.4790 6.6195
1.4751 2.5069 6.6131
8.3606 3.5854 18.2612
4.3885 -0.4065 18.2676
3.2414 0.7406 0.2103
2.6221 1.3599 24.6703
```



# 9
Below is a relaxed Tb6Sm4Y crystal, with properties calculated at the GGA-PBE level.

Results
**DOS at the Fermi energy**: 15.1 states/eV/f.u.
**E_form**: 301 meV/atom
**Symmetry**: No. 121
**E_tot**: -49.81 eV for the cell shown
**V**: 34.22 Å³ per atom
**Distance to the lowest polymorph of the same formula**: 0 meV per atom

Structure (POSCAR):
```
Tb6Sm4Y
1.0
7.4903 -2.9757 -5.5307
-5.1896 8.0507 1.9502
-1.9182 2.9757 9.1112
Tb Sm Y
6 4 1
Cartesian
-5.0442 7.8252 5.6684
-3.8792 6.0179 8.2186
-1.2442 5.0086 4.1179
1.1504 2.5375 -1.7903
3.4424 0.2255 -1.4128
2.7861 0.0000 1.7903
-3.3218 5.1531 1.3548
0.2346 2.8976 1.9463
-1.2847 1.9929 5.8139
-2.3533 9.0335 7.4770
0.0000 0.0000 0.0000
```



# 10
Below is a relaxed Tb5SmY12 crystal, with properties calculated at the GGA-PBE level.

Results
**DOS at the Fermi energy**: 26.3 states/eV/f.u.
**E_form**: 21 meV/atom
**Symmetry**: No. 65
**E_tot**: -105.05 eV for the cell shown
**V**: 32.20 Å³ per atom

Structure (POSCAR):
```
Tb5SmY12
1.0
15.1383 0.0000 -0.0005
7.5691 7.5829 -0.0003
0.0002 0.0000 5.0491
Tb Sm Y
5 1 12
Cartesian
7.5693 0.0000 2.5243
7.5693 5.0489 2.5243
15.1384 2.5340 2.5240
15.1384 5.0552 -0.0005
7.5694 2.5278 5.0488
0.0001 0.0000 0.0000
12.6158 0.0000 2.5244
2.5229 0.0000 2.5242
10.0787 0.0000 -0.0001
5.0599 0.0000 5.0487
10.0878 5.0512 5.0486
5.0509 5.0512 -0.0001
17.6569 2.5317 5.0484
12.6200 2.5317 -0.0003
10.0790 2.5261 2.5243
17.6481 5.0568 2.5240
5.0597 2.5261 2.5243
12.6288 5.0568 2.5240
```



# 11
Below is a relaxed Tb2Sm7Y crystal, with properties calculated at the GGA-PBE level.

Results
**DOS at the Fermi energy**: 14.7 states/eV/f.u.
**E_form**: 656 meV/atom
**Symmetry**: No. 65
**E_tot**: -42.20 eV for the cell shown
**V**: 40.64 Å³ per atom
**Distance to the lowest polymorph of the same formula**: 640 meV per atom

Structure (POSCAR):
```
Tb2Sm7Y
1.0
-5.0552 -1.1992 -1.8300
3.7436 -5.7391 -6.5805
-2.5438 -2.6481 8.7620
Tb Sm Y
2 7 1
Cartesian
-0.6408 -5.4258 -2.9647
-3.2146 -4.1605 3.3161
2.4357 -5.0960 -3.3890
-1.2359 -3.2911 5.5705
-3.0134 -1.7532 1.1828
-0.8420 -7.8331 -0.8314
-1.6133 -2.4415 -2.2337
-2.2421 -7.1448 2.5851
-1.9277 -4.7932 0.1757
0.0000 0.0000 0.0000
```



# 12
Below is a relaxed Tb2SmY crystal, with properties calculated at the GGA-PBE level.

Results
**DOS at the Fermi energy**: 7.2 states/eV/f.u.
**E_form**: 14 meV/atom
**Symmetry**: No. 44
**E_tot**: -20.39 eV for the cell shown
**V**: 32.94 Å³ per atom
**Distance to the lowest polymorph of the same formula**: 8 meV per atom

Structure (POSCAR):
```
Tb2SmY
1.0
3.5022 0.0213 1.0438
0.8269 5.7490 3.5008
-0.1141 0.4413 6.7663
Tb Sm Y
2 1 1
Cartesian
-0.0353 0.8806 6.4891
2.1855 3.5514 5.3882
0.9757 1.1127 3.0985
3.0824 4.2139 8.7568
```



> Which value of E_tot does entry 10 give?

-105.05 eV for the cell shown